[1]
The following is a DFT calculation (GGA-PBE) of a relaxed SbRh2Br crystal.

The total energy is -4.86 eV/atom. The volume comes out at 19.47 Å³ per atom. The density of states at the Fermi level is 3.3 states/eV/cell. For the raw formation energy, the calculation gives 0.261 eV per atom. As for the space group: No. 71.

Cell lengths 5.3509, 5.3509, 5.3509 Å; angles 144.86, 115.69, 75.45 degrees
Fractional positions:
Rh (0.5144, 0.5144, 0.0000)
Rh (0.9856, 0.9856, 0.0000)
Sb (0.7500, 0.2500, 0.5000)
Br (0.2500, 0.7500, 0.5000)

[2]
The following is a DFT calculation (GGA-PBE) of a relaxed Mn4Cu crystal.

The total energy is -7.04 eV/atom. The volume comes out at 18.79 Å³ per atom. The density of states at the Fermi level is 5.2 states/eV/cell. The calculation puts the energy of formation at 1116 meV/atom. As for the space group: No. 221.

Cell lengths 4.5464, 4.5464, 4.5464 Å; angles 90.00, 90.00, 90.00 degrees
Last column: magnetic moment on the atom in μB.
Fractional positions:
Mn (0.5000, 0.0000, 0.5000)  3.78
Mn (0.0000, 0.5000, 0.5000)  3.78
Mn (0.5000, 0.5000, 0.0000)  3.78
Mn (0.0000, 0.0000, 0.0000)  4.08
Cu (0.5000, 0.5000, 0.5000)  0.30